(1)
Sr4AgPbO after structural relaxation, computed with PBE-GGA.

Computed properties:
**Raw formation energy**: -1009 meV/atom
**Uncorrected energy**: -3.62 eV/atom
**Symmetry**: No. 63

extended XYZ file:
```
14
Lattice="-3.304 1.797 -6.049 5.887 -1.240 -3.583 -0.913 -9.631 1.832" Properties=species:S:1:pos:R:3 pbc="T T T"
Sr -2.408 -6.996 -4.956
Sr 2.304 -8.117 -3.669
Sr 4.078 -2.078 -2.844
Sr -0.634 -0.957 -4.131
Sr 0.835 -4.537 -3.900
Sr -0.457 -4.815 0.916
Sr -2.108 -3.917 -2.109
Sr 2.487 -5.435 -0.876
Ag 2.173 -2.039 -5.986
Ag -0.504 -7.034 -1.814
Pb 0.880 -2.325 -1.171
Pb 0.790 -6.749 -6.629
O 3.007 -5.724 -3.342
O -1.337 -3.350 -4.458
```



(2)
Pa13Ru2 after structural relaxation, computed with PBE-GGA.

Computed properties:
**Uncorrected energy**: -9.50 eV/atom
**Symmetry**: No. 2

extended XYZ file:
```
15
Lattice="-5.347 1.126 -0.561 -2.168 0.038 -8.087 1.868 -8.648 5.570" Properties=species:S:1:pos:R:3 pbc="T T T"
Pa -5.227 -2.707 -5.436
Pa -0.420 -4.777 2.358
Pa 0.000 0.000 0.000
Pa -1.122 -5.533 -2.837
Pa -4.525 -1.951 -0.240
Pa -0.194 -6.601 0.113
Pa -5.454 -0.883 -3.191
Pa -3.109 -2.909 -2.835
Pa -2.539 -4.576 -0.242
Pa -3.085 -7.901 -1.073
Pa -2.563 0.417 -2.005
Pa -3.245 -6.499 1.930
Pa -2.403 -0.985 -5.007
Ru -3.882 -5.489 -3.278
Ru -1.766 -1.995 0.201
```



(3)
Sc2Be16Si after structural relaxation, computed with PBE-GGA.

Computed properties:
**Raw formation energy**: -192 meV/atom
**Uncorrected energy**: -4.28 eV/atom
**Symmetry**: No. 160

extended XYZ file:
```
19
Lattice="-3.755 4.244 -0.755 -4.510 -3.273 -1.274 -2.273 -0.134 5.243" Properties=species:S:1:pos:R:3 pbc="T T T"
Sc -6.957 0.552 2.122
Sc -3.555 0.282 1.084
Be -3.326 2.949 1.016
Be -2.941 -1.057 3.320
Be -4.294 -1.054 -1.116
Be -3.857 -2.343 0.650
Be -3.984 2.025 -0.903
Be -2.719 1.156 3.473
Be -5.850 -1.348 0.461
Be -5.473 2.405 0.720
Be -4.733 0.219 3.715
Be -4.686 2.158 2.732
Be -5.057 -1.539 2.477
Be -5.786 0.614 -0.474
Be -2.242 -1.603 -0.616
Be -1.872 2.083 -0.361
Be -1.145 -0.063 2.580
Be -1.053 0.084 0.321
Si -9.503 0.755 2.898
```



| no. | volume (Å³ per cell) |
| --- | --- |
| 1 | 457.8 |
| 2 | 358.9 |
| 3 | 182.9 |